1:
This record from Alexandria describes crystalline Ag3BiTe4 at its relaxed geometry. The functional is PBE.

Computed properties:
The calculation puts the total magnetic moment at 0.00 μB/cell. The value obtained for the volume is 34.81 Å³/atom.

Unit cell a=7.6627 b=7.9339 c=9.1621 alpha=90.00 beta=90.00 gamma=90.00
Last column: nearest neighbours and their distance in Å.
Sites, in units of the cell vectors:
Ag (0.5036, 0.8352, 0.0000)  4 Te 2.76-2.79
Te (0.6401, 0.1828, 0.5000)  3 Ag 2.77-2.79, 1 Bi 2.97
Ag (0.4979, 0.3297, 0.2526)  4 Te 2.77-2.79
Te (0.1401, 0.8172, 0.0000)  3 Ag 2.77-2.79, 1 Bi 2.97
Bi (0.4991, 0.8339, 0.5000)  4 Te 2.97-3.01
Te (0.1352, 0.3445, 0.7374)  3 Ag 2.78-2.79, 1 Bi 2.98
Ag (0.9979, 0.6703, 0.7526)  4 Te 2.77-2.79
Te (0.6352, 0.6555, 0.7626)  3 Ag 2.78-2.79, 1 Bi 2.98
Ag (0.9979, 0.6703, 0.2474)  4 Te 2.77-2.79
Ag (0.4979, 0.3297, 0.7474)  4 Te 2.77-2.79
Te (0.1063, 0.8308, 0.5000)  3 Ag 2.76-2.77, 1 Bi 3.01
Bi (0.9991, 0.1661, 0.0000)  4 Te 2.97-3.01
Te (0.6063, 0.1692, 0.0000)  3 Ag 2.76-2.77, 1 Bi 3.01
Ag (0.0036, 0.1648, 0.5000)  4 Te 2.76-2.79
Te (0.1352, 0.3445, 0.2626)  3 Ag 2.78-2.79, 1 Bi 2.98
Te (0.6352, 0.6555, 0.2374)  3 Ag 2.78-2.79, 1 Bi 2.98

2:
This record from Alexandria describes crystalline Ag3BiTe4 at its relaxed geometry. The functional is PBE.

Computed properties:
The calculation puts the total magnetic moment at 0.00 μB/cell. The value obtained for the volume is 28.42 Å³/atom.

Unit cell a=4.4909 b=7.3001 c=7.3001 alpha=71.83 beta=90.12 gamma=90.11
Last column: nearest neighbours and their distance in Å.
Sites, in units of the cell vectors:
Te (0.3881, 0.2385, 0.7385)  3 Ag 2.76-2.86
Ag (0.5000, 0.0001, 0.5000)  6 Te 2.86-3.04
Ag (0.0000, 0.5001, 0.4999)  4 Te 2.76-2.96
Te (0.0000, 0.2401, 0.2602)  4 Ag 2.96-3.04, 2 Bi 3.16
Bi (0.5000, 0.5001, 0.0000)  6 Te 3.13-3.16
Te (0.6118, 0.7618, 0.2615)  3 Ag 2.76-2.86
Ag (0.9999, 0.0001, 0.0000)  4 Te 2.76-2.96
Te (0.9999, 0.7602, 0.7398)  4 Ag 2.96-3.04, 2 Bi 3.16

Which of them is most stable, and which least? Most stable: 2; least stable: 1.

1:
This record from Alexandria describes crystalline Ag2BiTe at its relaxed geometry. The functional is PBE.

Computed properties:
The calculation puts the total magnetic moment at 0.00 μB/cell. The value obtained for the volume is 24.48 Å³/atom.

Unit cell a=5.1734 b=5.1734 c=5.1734 alpha=60.00 beta=60.00 gamma=60.00
Last column: nearest neighbours and their distance in Å.
Sites, in units of the cell vectors:
Ag (0.2500, 0.2500, 0.2500)  4 Bi 3.17, 4 Te 3.17
Ag (0.7500, 0.7500, 0.7500)  4 Te 3.17, 4 Bi 3.17
Bi (0.5000, 0.5000, 0.5000)  8 Ag 3.17
Te (0.0000, 0.0000, 0.0000)  8 Ag 3.17

2:
This record from Alexandria describes crystalline Ag2BiTe at its relaxed geometry. The functional is PBE.

Computed properties:
The calculation puts the total magnetic moment at 0.00 μB/cell. The value obtained for the volume is 25.63 Å³/atom.

Unit cell a=7.9932 b=7.9932 c=6.4996 alpha=52.06 beta=52.06 gamma=90.00
Last column: nearest neighbours and their distance in Å.
Sites, in units of the cell vectors:
Te (0.5000, 0.5000, 0.0000)  4 Ag 2.89, 2 Bi 3.21
Ag (0.3750, 0.3847, 0.7500)  2 Te 2.89, 2 Bi 2.99, 2 Ag 3.21
Ag (0.1347, 0.6250, 0.2500)  2 Te 2.89, 2 Bi 2.99, 2 Ag 3.21
Ag (0.6153, 0.1250, 0.2500)  2 Te 2.89, 2 Bi 2.99, 2 Ag 3.21
Bi (0.7500, 0.2500, 0.5000)  4 Ag 2.99, 2 Te 3.21
Ag (0.8750, 0.8653, 0.7500)  2 Te 2.89, 2 Bi 2.99, 2 Ag 3.21
Bi (0.0000, 0.0000, 0.0000)  4 Ag 2.99, 2 Te 3.21
Te (0.2500, 0.7500, 0.5000)  4 Ag 2.89, 2 Bi 3.21

Which of them is most stable, and which least? Most stable: 2; least stable: 1.

1:
This record from Alexandria describes crystalline Ti2Ag2Bi at its relaxed geometry. The functional is PBE.

Computed properties:
The calculation puts the total magnetic moment at 0.00 μB/cell. The value obtained for the volume is 20.08 Å³/atom.

Unit cell a=7.9698 b=7.9698 c=3.1609 alpha=90.00 beta=90.00 gamma=90.00
Last column: nearest neighbours and their distance in Å.
Sites, in units of the cell vectors:
Ti (0.6657, 0.8343, 0.5000)  6 Ag 2.83, 2 Ti 3.16
Ti (0.1657, 0.6657, 0.5000)  6 Ag 2.83, 2 Ti 3.16
Ti (0.8343, 0.3343, 0.5000)  6 Ag 2.83, 2 Ti 3.16
Ag (0.3740, 0.8740, 0.0000)  6 Ti 2.83, 3 Ag 2.84-3.16, 2 Bi 3.15
Bi (0.0000, 0.0000, 0.0000)  4 Ag 3.15, 2 Bi 3.16, 8 Ti 3.37
Ti (0.3343, 0.1657, 0.5000)  6 Ag 2.83, 2 Ti 3.16
Ag (0.1260, 0.3740, 0.0000)  6 Ti 2.83, 3 Ag 2.84-3.16, 2 Bi 3.15
Ag (0.8740, 0.6260, 0.0000)  6 Ti 2.83, 3 Ag 2.84-3.16, 2 Bi 3.15
Bi (0.5000, 0.5000, 0.0000)  4 Ag 3.15, 2 Bi 3.16, 8 Ti 3.37
Ag (0.6260, 0.1260, 0.0000)  6 Ti 2.83, 3 Ag 2.84-3.16, 2 Bi 3.15

2:
This record from Alexandria describes crystalline Ti2Ag2Bi at its relaxed geometry. The functional is PBE.

Computed properties:
The calculation puts the total magnetic moment at 3.54 μB/cell. The value obtained for the volume is 20.87 Å³/atom.

Unit cell a=7.1469 b=7.1469 c=4.0860 alpha=90.00 beta=90.00 gamma=90.00
Last column: nearest neighbours and their distance in Å.
Sites, in units of the cell vectors:
Ag (0.8514, 0.3514, 0.5000)  6 Ti 2.87-3.01, 1 Ag 3.00
Ti (0.1328, 0.3672, 0.0000)  1 Ti 2.68, 2 Bi 2.79, 4 Ag 2.87
Bi (0.0000, 0.0000, 0.0000)  4 Ti 2.79
Ti (0.3672, 0.8672, 0.0000)  1 Ti 2.68, 2 Bi 2.79, 4 Ag 2.87
Ag (0.6486, 0.8514, 0.5000)  6 Ti 2.87-3.01, 1 Ag 3.00
Bi (0.5000, 0.5000, 0.0000)  4 Ti 2.79
Ti (0.6328, 0.1328, 0.0000)  1 Ti 2.68, 2 Bi 2.79, 4 Ag 2.87
Ti (0.8672, 0.6328, 0.0000)  1 Ti 2.68, 2 Bi 2.79, 4 Ag 2.87
Ag (0.1486, 0.6486, 0.5000)  6 Ti 2.87-3.01, 1 Ag 3.00
Ag (0.3514, 0.1486, 0.5000)  6 Ti 2.87-3.01, 1 Ag 3.00

Which of them is most stable, and which least? Most stable: 2; least stable: 1.

1:
This record from Alexandria describes crystalline Ti2AgBi2 at its relaxed geometry. The functional is PBE.

Computed properties:
The calculation puts the total magnetic moment at 0.00 μB/cell. The value obtained for the volume is 22.12 Å³/atom.

Unit cell a=7.5783 b=7.5783 c=3.8517 alpha=90.00 beta=90.00 gamma=90.00
Last column: nearest neighbours and their distance in Å.
Sites, in units of the cell vectors:
Ti (0.6330, 0.1330, 0.0000)  1 Ti 2.85, 6 Bi 2.89-2.98, 2 Ag 2.96
Ti (0.1330, 0.3670, 0.0000)  1 Ti 2.85, 6 Bi 2.89-2.98, 2 Ag 2.96
Bi (0.1653, 0.6653, 0.5000)  6 Ti 2.89-2.98
Bi (0.8347, 0.3347, 0.5000)  6 Ti 2.89-2.98
Ti (0.3670, 0.8670, 0.0000)  1 Ti 2.85, 6 Bi 2.89-2.98, 2 Ag 2.96
Ag (0.5000, 0.5000, 0.0000)  4 Ti 2.96
Bi (0.6653, 0.8347, 0.5000)  6 Ti 2.89-2.98
Bi (0.3347, 0.1653, 0.5000)  6 Ti 2.89-2.98
Ag (0.0000, 0.0000, 0.0000)  4 Ti 2.96
Ti (0.8670, 0.6330, 0.0000)  1 Ti 2.85, 6 Bi 2.89-2.98, 2 Ag 2.96

2:
This record from Alexandria describes crystalline Ti2AgBi2 at its relaxed geometry. The functional is PBE.

Computed properties:
The calculation puts the total magnetic moment at 0.00 μB/cell. The value obtained for the volume is 22.55 Å³/atom.

Unit cell a=7.9171 b=7.9171 c=3.5978 alpha=90.00 beta=90.00 gamma=90.00
Last column: nearest neighbours and their distance in Å.
Sites, in units of the cell vectors:
Ti (0.6327, 0.8673, 0.5000)  6 Bi 2.94, 1 Ti 2.97
Ag (0.0000, 0.0000, 0.0000)  4 Bi 2.98
Bi (0.1596, 0.3404, 0.0000)  6 Ti 2.94, 2 Ag 2.98
Ti (0.8673, 0.3673, 0.5000)  6 Bi 2.94, 1 Ti 2.97
Ti (0.3673, 0.1327, 0.5000)  6 Bi 2.94, 1 Ti 2.97
Ti (0.1327, 0.6327, 0.5000)  6 Bi 2.94, 1 Ti 2.97
Bi (0.6596, 0.1596, 0.0000)  6 Ti 2.94, 2 Ag 2.98
Bi (0.8404, 0.6596, 0.0000)  6 Ti 2.94, 2 Ag 2.98
Ag (0.5000, 0.5000, 0.0000)  4 Bi 2.98
Bi (0.3404, 0.8404, 0.0000)  6 Ti 2.94, 2 Ag 2.98

Which of them is most stable, and which least? Most stable: 1; least stable: 2.

1:
This record from Alexandria describes crystalline TiAg3Bi at its relaxed geometry. The functional is PBE.

Computed properties:
The calculation puts the total magnetic moment at 2.07 μB/cell. The value obtained for the volume is 25.83 Å³/atom.

Unit cell a=5.0549 b=5.0549 c=5.0549 alpha=90.00 beta=90.00 gamma=90.00
Last column: nearest neighbours and their distance in Å.
Sites, in units of the cell vectors:
Ag (0.0000, 0.5000, 0.0000)  2 Ti 2.53
Ag (0.5000, 0.0000, 0.0000)  2 Ti 2.53
Ti (0.0000, 0.0000, 0.0000)  6 Ag 2.53
Bi (0.5000, 0.5000, 0.5000)  12 Ag 3.57
Ag (0.0000, 0.0000, 0.5000)  2 Ti 2.53

2:
This record from Alexandria describes crystalline TiAg3Bi at its relaxed geometry. The functional is PBE.

Computed properties:
The calculation puts the total magnetic moment at 0.04 μB/cell. The value obtained for the volume is 29.65 Å³/atom.

Unit cell a=5.2926 b=5.2926 c=5.2926 alpha=90.00 beta=90.00 gamma=90.00
Last column: nearest neighbours and their distance in Å.
Sites, in units of the cell vectors:
Ag (0.0000, 0.0000, 0.5000)  2 Bi 2.65
Ag (0.0000, 0.5000, 0.0000)  2 Bi 2.65
Ag (0.5000, 0.0000, 0.0000)  2 Bi 2.65
Bi (0.0000, 0.0000, 0.0000)  6 Ag 2.65
Ti (0.5000, 0.5000, 0.5000)  12 Ag 3.74

Which of them is most stable, and which least? Most stable: 1; least stable: 2.